Crystalline TaW2O8 at its relaxed geometry, computed with GGA+U.

a b c (Å): 7.1624 7.1624 5.3861
angles (deg): 92.50 92.50 43.83
Last column: nearest neighbours and their distance in Å.
Fractional positions:
Ta: 0.0000 0.0000 0.0000  6 O 2.00-2.01
W: 0.1510 0.1510 0.4205  4 O 1.78-1.90
W: 0.8490 0.8490 0.5795  4 O 1.78-1.90
O: 0.1033 0.1033 0.7409  1 W 1.87, 1 Ta 2.00
O: 0.1550 0.6760 0.7901  1 W 1.90, 1 Ta 2.01
O: 0.2837 0.2837 0.3919  1 W 1.78
O: 0.3240 0.8450 0.2099  1 W 1.90, 1 Ta 2.01
O: 0.6760 0.1550 0.7901  1 W 1.90, 1 Ta 2.01
O: 0.7163 0.7163 0.6081  1 W 1.78
O: 0.8450 0.3240 0.2099  1 W 1.90, 1 Ta 2.01
O: 0.8967 0.8967 0.2591  1 W 1.87, 1 Ta 2.00

Output
- energy relative to the lowest polymorph listed for this composition (meV per atom) = 224